Record 1
The following is a PBE calculation of crystalline Li2InPd at its relaxed geometry, from Alexandria.

The structure in POSCAR format:
```
Li2InPd
1.0
0.000 3.199 3.199
3.199 0.000 3.199
3.199 3.199 0.000
Li In Pd
2 1 1
Cartesian
0.000 0.000 0.000
1.600 1.600 1.600
4.799 4.799 4.799
3.199 3.199 3.199
```

## Properties
- total magnetic moment (μB/f.u.) = 0.00
- energy of formation from the pure elements (meV per atom) = -495

Record 2
The following is a PBE calculation of crystalline NbCoH at its relaxed geometry, from Alexandria.

The structure in POSCAR format:
```
NbCoH
1.0
-1.807 1.807 9.653
1.807 -1.807 9.653
1.807 1.807 -9.653
Nb Co H
4 4 4
Cartesian
1.807 0.903 -3.392
0.000 0.903 1.435
1.807 0.903 8.218
0.000 0.903 13.045
1.807 0.903 -0.851
0.000 0.903 3.975
1.807 0.903 5.678
0.000 0.903 10.504
1.807 -0.903 5.493
1.807 -0.903 8.987
0.000 2.710 0.666
0.000 2.710 4.160
```

## Properties
- total magnetic moment (μB/f.u.) = 0.00
- E (eV/atom) = -6.9123

Record 3
The following is a PBE calculation of crystalline Mg2CuSe at its relaxed geometry, from Alexandria.

The structure in POSCAR format:
```
Mg2CuSe
1.0
-1.924 1.924 10.441
1.924 -1.924 10.441
1.924 1.924 -10.441
Mg Cu Se
4 2 2
Cartesian
1.924 0.000 0.000
0.000 0.000 3.208
0.000 1.924 0.000
0.000 0.000 17.673
1.924 0.000 5.220
0.000 1.924 5.220
0.000 0.000 8.373
0.000 0.000 12.508
```

## Properties
- total magnetic moment (μB/f.u.) = 0.00
- E (eV/atom) = -2.9464

Record 4
The following is a PBE calculation of crystalline Ac2PbSe2O2 at its relaxed geometry, from Alexandria.

The structure in POSCAR format:
```
Ac2PbSe2O2
1.0
6.500 -2.108 0.000
6.500 2.108 0.000
-3.945 0.000 6.484
Ac Pb Se O
2 1 2 2
Cartesian
1.543 0.000 1.590
7.511 0.000 4.894
-1.972 0.000 3.242
4.976 0.000 1.047
4.078 0.000 5.438
0.477 0.000 3.822
8.578 0.000 2.662
```

## Properties
- total magnetic moment (μB/f.u.) = 0.00
- E (eV/atom) = -6.3408

Record 5
The following is a PBE calculation of crystalline Tb3Pm2PrY6 at its relaxed geometry, from Alexandria.

The structure in POSCAR format:
```
Tb3Pm2PrY6
1.0
3.117 -5.395 0.000
3.117 5.395 0.000
-2.066 0.000 11.683
Tb Pm Pr Y
3 2 1 6
Cartesian
0.000 0.000 0.000
3.117 1.800 0.000
3.117 -1.800 0.000
2.084 3.597 5.842
2.084 -3.597 5.842
2.084 0.000 5.842
1.039 1.800 2.890
0.010 0.000 8.793
1.039 -1.800 2.890
3.129 1.800 8.793
4.158 0.000 2.890
3.129 -1.800 8.793
```

## Properties
- total magnetic moment (μB/f.u.) = 0.00
- energy of formation from the pure elements (meV per atom) = 16

Record 6
The following is a PBE calculation of crystalline AcLaGePt at its relaxed geometry, from Alexandria.

The structure in POSCAR format:
```
AcLaGePt
1.0
4.887 0.000 0.000
0.000 4.887 0.000
0.000 0.000 10.728
Ac La Ge Pt
2 2 2 2
Cartesian
1.222 1.222 1.704
3.665 3.665 9.024
1.222 3.665 5.364
3.665 1.222 5.364
1.222 1.222 9.398
3.665 3.665 1.329
1.222 1.222 6.994
3.665 3.665 3.733
```

## Properties
- total magnetic moment (μB/f.u.) = 0.00
- energy of formation from the pure elements (meV per atom) = -681

Record 7
The following is a PBE calculation of crystalline UTe3 at its relaxed geometry, from Alexandria.

The structure in POSCAR format:
```
UTe3
1.0
4.079 0.000 0.000
0.000 5.916 0.000
0.000 0.000 4.811
U Te
1 3
Cartesian
0.000 0.000 0.000
0.000 2.958 1.608
2.040 0.000 2.297
2.040 2.958 4.121
```

## Properties
- total magnetic moment (μB/f.u.) = 2.51
- E (eV/atom) = -5.3960

Record 8
The following is a PBE calculation of crystalline SrCdGa3 at its relaxed geometry, from Alexandria.

The structure in POSCAR format:
```
SrCdGa3
1.0
5.952 0.000 0.000
0.000 5.952 0.000
0.000 0.000 5.952
Sr Cd Ga
1 1 3
Cartesian
0.000 0.000 0.000
2.976 2.976 2.976
0.000 0.000 2.976
0.000 2.976 0.000
2.976 0.000 0.000
```

## Properties
- total magnetic moment (μB/f.u.) = 0.00
- energy of formation from the pure elements (meV per atom) = 849

Among the records above, which one has the highest total magnetic moment? UTe3

Which value of total magnetic moment does entry 3 give? 0.00 μB/f.u.